Entry 1:
A plane-wave DFT calculation with GGA-PBE was carried out for a relaxed structure of ReAg2PPt.

Cell: 4.5677 4.5677 4.4701 Å, 90.00 90.00 90.00°
Closest atoms and distances in Å follow each position.
Fractional positions:
Re (0.0000, 0.0000, 0.0000)  2 P 2.24
Ag (0.0000, 0.5000, 0.5000)  2 P 2.28
Ag (0.5000, 0.0000, 0.5000)  2 P 2.28
P (0.0000, 0.0000, 0.5000)  2 Re 2.24, 4 Ag 2.28
Pt (0.5000, 0.5000, 0.0000)  8 Ag 3.20, 4 Re 3.23

SG: P4/mmm (123)
ΔE_f in eV/atom: 0.83

***

Entry 2:
A plane-wave DFT calculation with GGA-PBE was carried out for a relaxed structure of ReAgP2Pt.

Cell: 4.5425 4.5425 5.1041 Å, 90.00 90.00 90.00°
Closest atoms and distances in Å follow each position.
Fractional positions:
Re (0.0000, 0.0000, 0.0000)  2 Ag 2.55
Ag (0.0000, 0.0000, 0.5000)  4 P 2.27
P (0.0000, 0.5000, 0.5000)  2 Ag 2.27
P (0.5000, 0.0000, 0.5000)  2 Ag 2.27
Pt (0.5000, 0.5000, 0.0000)  4 Re 3.21, 8 P 3.42

SG: P4/mmm (123)
ΔE_f in eV/atom: 2.03

***

Entry 3:
A plane-wave DFT calculation with GGA-PBE was carried out for a relaxed structure of Ag2SbPPt.

Cell: 5.1618 5.1618 4.8881 Å, 90.00 90.00 90.00°
Closest atoms and distances in Å follow each position.
Fractional positions:
Ag (0.0000, 0.5000, 0.0000)  2 Pt 2.58
Ag (0.5000, 0.0000, 0.0000)  2 Pt 2.58
Sb (0.0000, 0.0000, 0.5000)  2 Pt 2.44
P (0.5000, 0.5000, 0.5000)  8 Ag 3.55, 4 Sb 3.65
Pt (0.0000, 0.0000, 0.0000)  2 Sb 2.44, 4 Ag 2.58

Uncorrected formation energy in eV per atom: 0.755
SG: P4/mmm (123)

***

Entry 4:
A plane-wave DFT calculation with GGA-PBE was carried out for a relaxed structure of AgSnPPt2.

Cell: 4.9858 4.9858 4.9515 Å, 90.00 90.00 90.00°
Closest atoms and distances in Å follow each position.
Fractional positions:
Ag (0.0000, 0.0000, 0.0000)  8 Pt 3.51, 4 P 3.53
Sn (0.5000, 0.5000, 0.5000)  2 P 2.48, 4 Pt 2.49
P (0.5000, 0.5000, 0.0000)  2 Sn 2.48
Pt (0.0000, 0.5000, 0.5000)  2 Sn 2.49
Pt (0.5000, 0.0000, 0.5000)  2 Sn 2.49

SG: P4/mmm (123)
ΔE_f in eV/atom: 0.97

***

Entry 5:
A plane-wave DFT calculation with GGA-PBE was carried out for a relaxed structure of Y2AgPPt.

Cell: 5.4752 5.4752 4.3666 Å, 90.00 90.00 90.00°
Closest atoms and distances in Å follow each position.
Fractional positions:
Y (0.0000, 0.5000, 0.0000)  2 Ag 2.74
Y (0.5000, 0.0000, 0.0000)  2 Ag 2.74
Ag (0.0000, 0.0000, 0.0000)  2 P 2.18
P (0.0000, 0.0000, 0.5000)  2 Ag 2.18
Pt (0.5000, 0.5000, 0.5000)  8 Y 3.50, 4 P 3.87

ΔE to the lowest computed polymorph in eV/atom: 0.633
SG: P4/mmm (123)
ΔE_f in eV/atom: 0.21

***

Entry 6:
A plane-wave DFT calculation with GGA-PBE was carried out for a relaxed structure of YAgPPt2.

Cell: 4.8769 4.8769 5.2294 Å, 90.00 90.00 90.00°
Closest atoms and distances in Å follow each position.
Fractional positions:
Y (0.0000, 0.0000, 0.0000)  2 Ag 2.61
Ag (0.0000, 0.0000, 0.5000)  4 Pt 2.44, 2 Y 2.61
P (0.5000, 0.5000, 0.0000)  4 Y 3.45, 8 Pt 3.58
Pt (0.0000, 0.5000, 0.5000)  2 Ag 2.44
Pt (0.5000, 0.0000, 0.5000)  2 Ag 2.44

SG: P4/mmm (123)
ΔE_f in eV/atom: 0.86

***

Entry 7:
A plane-wave DFT calculation with GGA-PBE was carried out for a relaxed structure of Y2AgPPt.

Cell: 5.2385 5.2385 4.5173 Å, 90.00 90.00 90.00°
Closest atoms and distances in Å follow each position.
Fractional positions:
Y (0.0000, 0.5000, 0.0000)  2 P 2.62
Y (0.5000, 0.0000, 0.0000)  2 P 2.62
Ag (0.0000, 0.0000, 0.5000)  2 P 2.26
P (0.0000, 0.0000, 0.0000)  2 Ag 2.26
Pt (0.5000, 0.5000, 0.5000)  8 Y 3.46, 4 Ag 3.70

ΔE to the lowest computed polymorph in eV/atom: 0.000
SG: P4/mmm (123)
ΔE_f in eV/atom: -0.42

***

Entry 8:
A plane-wave DFT calculation with GGA-PBE was carried out for a relaxed structure of ZrAgPPt2.

Cell: 4.9209 4.9209 4.3969 Å, 90.00 90.00 90.00°
Closest atoms and distances in Å follow each position.
Fractional positions:
Zr (0.0000, 0.0000, 0.0000)  8 Pt 3.30, 4 P 3.48
Ag (0.5000, 0.5000, 0.5000)  2 P 2.20, 4 Pt 2.46
P (0.5000, 0.5000, 0.0000)  2 Ag 2.20
Pt (0.0000, 0.5000, 0.5000)  2 Ag 2.46
Pt (0.5000, 0.0000, 0.5000)  2 Ag 2.46

SG: P4/mmm (123)
ΔE_f in eV/atom: 0.77

***

Entry 9:
A plane-wave DFT calculation with GGA-PBE was carried out for a relaxed structure of PuAgP.

Cell: 7.6770 7.6770 7.6770 Å, 36.03 36.03 36.03°
Closest atoms and distances in Å follow each position.
Fractional positions:
Pu (0.0947, 0.0947, 0.0947)  4 P 2.69-2.77
Pu (0.9053, 0.9053, 0.9053)  4 P 2.69-2.77
Ag (0.3391, 0.3391, 0.3391)  1 P 2.56, 3 Ag 2.75
Ag (0.6609, 0.6609, 0.6609)  1 P 2.56, 3 Ag 2.75
P (0.2200, 0.2200, 0.2200)  1 Ag 2.56, 4 Pu 2.69-2.77
P (0.7800, 0.7800, 0.7800)  1 Ag 2.56, 4 Pu 2.69-2.77

SG: R-3m (166)
ΔE_f in eV/atom: -0.33

***

Entry 10:
A plane-wave DFT calculation with GGA-PBE was carried out for a relaxed structure of Rb2Ag2P.

Cell: 11.1646 11.1646 11.1646 Å, 160.06 160.06 28.34°
Closest atoms and distances in Å follow each position.
Fractional positions:
Rb (0.0965, 0.0965, 0.0000)  4 P 3.44, 4 Ag 3.85
Rb (0.9035, 0.9035, 0.0000)  4 P 3.44, 4 Ag 3.85
Ag (0.2500, 0.7500, 0.5000)  4 Ag 2.73
Ag (0.7500, 0.2500, 0.5000)  4 Ag 2.73
P (0.5000, 0.5000, 0.0000)  8 Rb 3.44

ΔE to the lowest computed polymorph in eV/atom: 0.096
SG: I4/mmm (139)
ΔE_f in eV/atom: 0.17

***

Entry 11:
A plane-wave DFT calculation with GGA-PBE was carried out for a relaxed structure of RbAg2P2.

Cell: 6.0010 6.0010 6.0010 Å, 134.78 134.78 65.87°
Closest atoms and distances in Å follow each position.
Fractional positions:
Rb (0.0000, 0.0000, 0.0000)  8 Ag 3.42, 8 P 3.44
Ag (0.2500, 0.7500, 0.5000)  4 P 2.71
Ag (0.7500, 0.2500, 0.5000)  4 P 2.71
P (0.3904, 0.3904, 0.0000)  1 P 2.21
P (0.6096, 0.6096, 0.0000)  1 P 2.21

ΔE to the lowest computed polymorph in eV/atom: 0.000
SG: I4/mmm (139)
ΔE_f in eV/atom: -0.08

***

Entry 12:
A plane-wave DFT calculation with GGA-PBE was carried out for a relaxed structure of RbAg2P2.

Cell: 6.5498 6.5498 6.5498 Å, 136.70 136.70 62.89°
Closest atoms and distances in Å follow each position.
Fractional positions:
Rb (0.0000, 0.0000, 0.0000)  10 Ag 3.58-3.96, 8 P 3.69
Ag (0.3207, 0.3207, 0.0000)  4 P 2.54
Ag (0.6793, 0.6793, 0.0000)  4 P 2.54
P (0.2500, 0.7500, 0.5000)  4 Ag 2.54
P (0.7500, 0.2500, 0.5000)  4 Ag 2.54

ΔE to the lowest computed polymorph in eV/atom: 0.176
SG: I4/mmm (139)
ΔE_f in eV/atom: 0.09

***

Entry 13:
A plane-wave DFT calculation with GGA-PBE was carried out for a relaxed structure of Rb4AgP2.

Cell: 9.9673 9.9673 9.9673 Å, 34.33 34.33 34.33°
Closest atoms and distances in Å follow each position.
Fractional positions:
Rb (0.1180, 0.1180, 0.1180)  3 P 3.55, 3 Ag 3.66
Rb (0.2923, 0.2923, 0.2923)  4 P 3.45-3.58
Rb (0.7077, 0.7077, 0.7077)  4 P 3.45-3.58
Rb (0.8820, 0.8820, 0.8820)  3 P 3.55, 3 Ag 3.66
Ag (0.5000, 0.5000, 0.5000)  2 P 2.39
P (0.4152, 0.4152, 0.4152)  1 Ag 2.39
P (0.5848, 0.5848, 0.5848)  1 Ag 2.39

SG: R-3m (166)
ΔE_f in eV/atom: -0.21

***

Entry 14:
A plane-wave DFT calculation with GGA-PBE was carried out for a relaxed structure of RbAg2P2.

Cell: 8.4221 8.4221 2.9112 Å, 90.00 90.00 90.00°
Closest atoms and distances in Å follow each position.
Fractional positions:
Rb (0.0000, 0.0000, 0.0000)  2 Rb 2.91
Rb (0.5000, 0.5000, 0.0000)  2 Rb 2.91
Ag (0.1279, 0.3721, 0.0000)  6 P 2.83-2.93, 3 Ag 2.91-3.05
Ag (0.3721, 0.8721, 0.0000)  6 P 2.83-2.93, 3 Ag 2.91-3.05
Ag (0.6279, 0.1279, 0.0000)  6 P 2.83-2.93, 3 Ag 2.91-3.05
Ag (0.8721, 0.6279, 0.0000)  6 P 2.83-2.93, 3 Ag 2.91-3.05
P (0.1583, 0.6583, 0.5000)  6 Ag 2.83-2.93, 2 P 2.91
P (0.3417, 0.1583, 0.5000)  6 Ag 2.83-2.93, 2 P 2.91
P (0.6583, 0.8417, 0.5000)  6 Ag 2.83-2.93, 2 P 2.91
P (0.8417, 0.3417, 0.5000)  6 Ag 2.83-2.93, 2 P 2.91

ΔE to the lowest computed polymorph in eV/atom: 0.322
SG: P4/mbm (127)
ΔE_f in eV/atom: 0.24

***

no.,total DFT energy (no corrections) (hartree per atom),total magnetic moment (μB/cell)
1,-0.1870,1.0
2,-0.1618,3.2
3,-0.1286,0.4
4,-0.1431,0.0
5,-0.1925,0.0
6,-0.1655,0.0
7,-0.2157,0.0
8,-0.1842,0.0
9,-0.2891,10.5
10,-0.0897,0.0
11,-0.1316,0.0
12,-0.1251,0.0
13,-0.0999,1.1
14,-0.1198,0.0